Material: CuPbO2
Method: DFT, meta-GGA SCAN
State: PBEsol geometry

Unit cell a=4.827 b=5.348 c=5.607 alpha=118.48 beta=115.50 gamma=90.00
Each line ends with the local moment (μB).
Fractional coordinates of all 8 atoms:
1 Pb 0.235 0.250 0.500  0.00
2 Pb 0.765 0.750 0.500  0.00
3 O 0.666 0.666 0.833  0.13
4 O 0.334 0.834 0.167  0.13
5 O 0.666 0.166 0.833  0.13
6 O 0.334 0.334 0.167  0.13
7 Cu 0.000 0.500 0.000  0.57
8 Cu 0.500 0.000 0.000  0.57

Output
Total magnetic moment ... 0.84 μB per formula unit
VASP energy ... -26.79 eV per atom